This record from Alexandria via LeMat-Bulk describes a relaxed Sm4IrAu crystal. The functional is PBE-GGA.

Lattice parameters (Å, degrees): 4.8460 8.5557 16.0376 90.00 90.00 90.00
Last column: nearest neighbours and their distance in Å.
Sites, in units of the cell vectors:
1 Ir 0.7500 0.1890 0.6852  7 Sm 2.78-3.08
2 Sm 0.7500 0.9608 0.9216  1 Ir 2.89, 1 Au 3.00
3 Sm 0.7500 0.9174 0.2225  2 Ir 2.98, 1 Au 3.04
4 Sm 0.2500 0.1336 0.3356  2 Ir 2.78-2.85, 2 Au 3.04
5 Sm 0.2500 0.6336 0.1644  2 Ir 2.78-2.85, 2 Au 3.04
6 Sm 0.7500 0.4174 0.2775  2 Ir 2.98, 1 Au 3.04
7 Sm 0.7500 0.4608 0.5784  1 Ir 2.89, 1 Au 3.00
8 Sm 0.2500 0.0392 0.0784  1 Ir 2.89, 1 Au 3.00
9 Ir 0.2500 0.3110 0.1852  7 Sm 2.78-3.08
10 Au 0.7500 0.2286 0.4383  7 Sm 3.00-3.27
11 Au 0.7500 0.7286 0.0617  7 Sm 3.00-3.27
12 Au 0.2500 0.2714 0.9383  7 Sm 3.00-3.27
13 Ir 0.7500 0.6890 0.8148  7 Sm 2.78-3.08
14 Sm 0.7500 0.8664 0.6644  2 Ir 2.78-2.85, 2 Au 3.04
15 Ir 0.2500 0.8110 0.3148  7 Sm 2.78-3.08
16 Au 0.2500 0.7714 0.5617  7 Sm 3.00-3.27
17 Sm 0.2500 0.1498 0.5682  2 Ir 3.08, 3 Au 3.24-3.27, 1 Sm 3.40
18 Sm 0.7500 0.8502 0.4318  2 Ir 3.08, 3 Au 3.24-3.27, 1 Sm 3.40
19 Sm 0.7500 0.3502 0.0682  2 Ir 3.08, 3 Au 3.24-3.27, 1 Sm 3.40
20 Sm 0.2500 0.6498 0.9318  2 Ir 3.08, 3 Au 3.24-3.27, 1 Sm 3.40
21 Sm 0.2500 0.0826 0.7775  2 Ir 2.98, 1 Au 3.04
22 Sm 0.2500 0.5392 0.4216  1 Ir 2.89, 1 Au 3.00
23 Sm 0.7500 0.3664 0.8356  2 Ir 2.78-2.85, 2 Au 3.04
24 Sm 0.2500 0.5826 0.7225  2 Ir 2.98, 1 Au 3.04

- Symmetry: Pnma, No. 62
- V: 664.9 Å³/cell
- Distance to the lowest polymorph of the same formula: 0 meV/atom
- Energy: -5.727 eV per atom

---

This record from Alexandria via LeMat-Bulk describes a relaxed Sm3IrAu crystal. The functional is PBE-GGA.

Lattice parameters (Å, degrees): 7.3122 8.9327 8.9326 76.65 90.00 90.00
Last column: nearest neighbours and their distance in Å.
Sites, in units of the cell vectors:
1 Sm 0.5000 0.3730 0.3730  2 Ir 2.81
2 Sm 0.9970 0.9600 0.3019  2 Ir 2.83-2.90, 1 Au 3.15
3 Au 0.7500 0.9934 0.0066  8 Sm 3.15-3.27
4 Sm 0.4970 0.0400 0.6981  2 Ir 2.83-2.91, 1 Au 3.15
5 Sm 0.5000 0.6270 0.6270  2 Ir 2.81
6 Sm 0.5030 0.6981 0.0400  2 Ir 2.83-2.90, 1 Au 3.15
7 Sm 0.9970 0.6981 0.0400  2 Ir 2.83-2.91, 1 Au 3.15
8 Sm 0.4970 0.3019 0.9600  2 Ir 2.83-2.90, 1 Au 3.15
9 Sm 0.0030 0.3019 0.9600  2 Ir 2.83-2.91, 1 Au 3.15
10 Sm 0.5030 0.9600 0.3019  2 Ir 2.83-2.91, 1 Au 3.15
11 Sm 0.0000 0.3730 0.3730  2 Ir 2.81
12 Ir 0.2500 0.5622 0.8721  6 Sm 2.81-2.91
13 Au 0.2500 0.0066 0.9934  8 Sm 3.15-3.27
14 Sm 0.0000 0.6270 0.6270  2 Ir 2.81
15 Ir 0.7500 0.4378 0.1279  6 Sm 2.81-2.91
16 Ir 0.7500 0.8721 0.5622  6 Sm 2.81-2.91
17 Sm 0.0030 0.0400 0.6981  2 Ir 2.83-2.90, 1 Au 3.15
18 Au 0.2500 0.6661 0.3339  8 Sm 3.15-3.17
19 Au 0.7500 0.3339 0.6661  8 Sm 3.15-3.17
20 Ir 0.2500 0.1279 0.4378  6 Sm 2.81-2.91

- Symmetry: Cmcm, No. 63
- V: 567.7 Å³/cell
- Distance to the lowest polymorph of the same formula: 87 meV/atom
- Energy: -5.865 eV per atom

---

This record from Alexandria via LeMat-Bulk describes a relaxed SrSmIrAu crystal. The functional is PBE-GGA.

Lattice parameters (Å, degrees): 5.1341 5.1341 5.1341 60.00 60.00 60.00
Last column: nearest neighbours and their distance in Å.
Sites, in units of the cell vectors:
1 Ir 0.0000 0.0000 0.0000  4 Sr 3.14, 4 Sm 3.14
2 Sm 0.7500 0.7500 0.7500  4 Au 3.14, 4 Ir 3.14
3 Sr 0.2500 0.2500 0.2500  4 Au 3.14, 4 Ir 3.14
4 Au 0.5000 0.5000 0.5000  4 Sr 3.14, 4 Sm 3.14

- Symmetry: F-43m, No. 216
- V: 95.7 Å³/cell
- Energy: -5.147 eV per atom

---

This record from Alexandria via LeMat-Bulk describes a relaxed Sm6Te3Ir2Au crystal. The functional is PBE-GGA.

Lattice parameters (Å, degrees): 7.3384 7.3384 7.8477 98.94 98.94 119.93
Last column: nearest neighbours and their distance in Å.
Sites, in units of the cell vectors:
1 Te 0.1599 0.8401 0.5000  6 Sm 3.17-3.31
2 Ir 0.6678 0.3322 0.0000  6 Sm 2.85-2.86
3 Sm 0.7145 0.7145 0.2097  2 Ir 2.85, 1 Au 3.04, 1 Te 3.15
4 Te 0.5000 0.5000 0.5000  6 Sm 3.15-3.31
5 Au 0.0000 0.0000 0.0000  6 Sm 3.04-3.07
6 Sm 0.2855 0.2855 0.7903  2 Ir 2.85, 1 Au 3.04, 1 Te 3.15
7 Sm 0.5724 0.9282 0.7849  2 Ir 2.85-2.86, 1 Au 3.07, 1 Te 3.17
8 Te 0.8401 0.1599 0.5000  6 Sm 3.17-3.31
9 Sm 0.9282 0.5724 0.7849  2 Ir 2.85-2.86, 1 Au 3.07, 1 Te 3.17
10 Ir 0.3322 0.6678 0.0000  6 Sm 2.85-2.86
11 Sm 0.4276 0.0718 0.2151  2 Ir 2.85-2.86, 1 Au 3.07, 1 Te 3.17
12 Sm 0.0718 0.4276 0.2151  2 Ir 2.85-2.86, 1 Au 3.07, 1 Te 3.17

- Symmetry: C2/m, No. 12
- V: 348.1 Å³/cell
- Energy: -5.958 eV per atom
- Energy relative to the elements, uncorrected: -1063 meV per atom

---

This record from Alexandria via LeMat-Bulk describes a relaxed SmThIrAu crystal. The functional is PBE-GGA.

Lattice parameters (Å, degrees): 5.1202 5.1202 5.1202 60.00 60.00 60.00
Last column: nearest neighbours and their distance in Å.
Sites, in units of the cell vectors:
1 Sm 0.2500 0.2500 0.2500  4 Ir 3.14, 4 Au 3.14
2 Au 0.5000 0.5000 0.5000  4 Th 3.14, 4 Sm 3.14
3 Th 0.7500 0.7500 0.7500  4 Au 3.14, 4 Ir 3.14
4 Ir 0.0000 0.0000 0.0000  4 Th 3.14, 4 Sm 3.14

- Symmetry: F-43m, No. 216
- V: 94.9 Å³/cell
- Distance to the lowest polymorph of the same formula: 190 meV/atom
- Energy: -6.754 eV per atom

---

This record from Alexandria via LeMat-Bulk describes a relaxed SmThIrAu crystal. The functional is PBE-GGA.

Lattice parameters (Å, degrees): 3.9787 4.2038 6.2660 90.00 108.51 90.00
Last column: nearest neighbours and their distance in Å.
Sites, in units of the cell vectors:
1 Ir 0.3976 0.0000 0.7951  4 Th 2.91, 1 Sm 2.94, 2 Au 3.05
2 Au 0.5830 0.5000 0.1660  4 Sm 3.00, 2 Ir 3.05, 2 Th 3.22
3 Th 0.8695 0.5000 0.7389  4 Ir 2.91, 2 Au 3.22
4 Sm 0.1500 0.0000 0.3000  1 Ir 2.94, 4 Au 3.00

- Symmetry: Amm2, No. 38
- V: 99.4 Å³/cell
- Distance to the lowest polymorph of the same formula: 0 meV/atom
- Energy: -6.945 eV per atom

---

This record from Alexandria via LeMat-Bulk describes a relaxed SmYIrAu crystal. The functional is PBE-GGA.

Lattice parameters (Å, degrees): 5.0249 5.0249 5.0249 60.00 60.00 60.00
Last column: nearest neighbours and their distance in Å.
Sites, in units of the cell vectors:
1 Sm 0.2500 0.2500 0.2500  4 Au 3.08, 4 Ir 3.08
2 Ir 0.5000 0.5000 0.5000  4 Sm 3.08, 4 Y 3.08
3 Au 0.0000 0.0000 0.0000  4 Y 3.08, 4 Sm 3.08
4 Y 0.7500 0.7500 0.7500  4 Ir 3.08, 4 Au 3.08

- Symmetry: F-43m, No. 216
- V: 89.7 Å³/cell
- Energy: -6.592 eV per atom

---

This record from Alexandria via LeMat-Bulk describes a relaxed SmZrIrAu crystal. The functional is PBE-GGA.

Lattice parameters (Å, degrees): 4.9161 4.9161 4.9161 60.00 60.00 60.00
Last column: nearest neighbours and their distance in Å.
Sites, in units of the cell vectors:
1 Ir 0.5000 0.5000 0.5000  4 Sm 3.01, 4 Zr 3.01
2 Zr 0.2500 0.2500 0.2500  4 Ir 3.01, 4 Au 3.01
3 Sm 0.7500 0.7500 0.7500  4 Au 3.01, 4 Ir 3.01
4 Au 0.0000 0.0000 0.0000  4 Zr 3.01, 4 Sm 3.01

- Symmetry: F-43m, No. 216
- V: 84.0 Å³/cell
- Energy: -6.928 eV per atom

---

This record from Alexandria via LeMat-Bulk describes a relaxed Sn5IrAu2 crystal. The functional is PBE-GGA.

Lattice parameters (Å, degrees): 4.9969 7.3095 13.8783 90.00 90.00 109.99
Last column: nearest neighbours and their distance in Å.
Sites, in units of the cell vectors:
1 Au 0.8758 0.7516 0.4369  6 Sn 2.67-2.96
2 Sn 0.2896 0.5792 0.0738  1 Ir 2.73, 3 Au 2.77-2.96
3 Au 0.8758 0.7516 0.0631  6 Sn 2.67-2.96
4 Sn 0.7104 0.4208 0.5738  1 Ir 2.73, 3 Au 2.77-2.96
5 Sn 0.7104 0.4208 0.9262  1 Ir 2.73, 3 Au 2.77-2.96
6 Ir 0.7992 0.5985 0.7500  6 Sn 2.57-2.73
7 Sn 0.2896 0.5792 0.4262  1 Ir 2.73, 3 Au 2.77-2.96
8 Sn 0.9419 0.8838 0.6304  1 Ir 2.57, 2 Au 2.67-2.83
9 Sn 0.0581 0.1162 0.3696  1 Ir 2.57, 2 Au 2.67-2.83
10 Ir 0.2008 0.4015 0.2500  6 Sn 2.57-2.73
11 Sn 0.0581 0.1162 0.1304  1 Ir 2.57, 2 Au 2.67-2.83
12 Au 0.1242 0.2484 0.5631  6 Sn 2.67-2.96
13 Sn 0.9419 0.8838 0.8696  1 Ir 2.57, 2 Au 2.67-2.83
14 Sn 0.7750 0.5500 0.2500  2 Ir 2.70, 2 Au 2.94
15 Au 0.1242 0.2484 0.9369  6 Sn 2.67-2.96
16 Sn 0.2250 0.4500 0.7500  2 Ir 2.70, 2 Au 2.94

- Symmetry: Cmcm, No. 63
- V: 476.4 Å³/cell
- Energy: -4.452 eV per atom

---

This record from Alexandria via LeMat-Bulk describes a relaxed Sn2Ir2Au crystal. The functional is PBE-GGA.

Lattice parameters (Å, degrees): 7.6901 7.6901 3.0961 90.00 90.00 90.00
Last column: nearest neighbours and their distance in Å.
Sites, in units of the cell vectors:
1 Sn 0.3428 0.1572 0.5000  6 Ir 2.68-2.77
2 Ir 0.1413 0.3587 0.0000  6 Sn 2.68-2.77, 2 Au 2.96
3 Au 0.5000 0.5000 0.0000  4 Ir 2.96, 2 Au 3.10, 8 Sn 3.29
4 Sn 0.6572 0.8428 0.5000  6 Ir 2.68-2.77
5 Ir 0.8587 0.6413 0.0000  6 Sn 2.68-2.77, 2 Au 2.96
6 Au 0.0000 0.0000 0.0000  4 Ir 2.96, 2 Au 3.10, 8 Sn 3.29
7 Sn 0.1572 0.6572 0.5000  6 Ir 2.68-2.77
8 Ir 0.6413 0.1413 0.0000  6 Sn 2.68-2.77, 2 Au 2.96
9 Sn 0.8428 0.3428 0.5000  6 Ir 2.68-2.77
10 Ir 0.3587 0.8587 0.0000  6 Sn 2.68-2.77, 2 Au 2.96

- Symmetry: P4/mbm, No. 127
- V: 183.1 Å³/cell
- Distance to the lowest polymorph of the same formula: 0 meV/atom
- Energy: -5.878 eV per atom

---

This record from Alexandria via LeMat-Bulk describes a relaxed SnIr3Au crystal. The functional is PBE-GGA.

Lattice parameters (Å, degrees): 4.8534 4.8534 4.8534 90.00 90.00 90.00
Last column: nearest neighbours and their distance in Å.
Sites, in units of the cell vectors:
1 Sn 0.0000 0.0000 0.0000  6 Ir 2.43
2 Ir 0.5000 0.0000 0.0000  2 Sn 2.43
3 Au 0.5000 0.5000 0.5000  12 Ir 3.43
4 Ir 0.0000 0.5000 0.0000  2 Sn 2.43
5 Ir 0.0000 0.0000 0.5000  2 Sn 2.43

- Symmetry: Pm-3m, No. 221
- V: 114.3 Å³/cell
- Energy: -4.857 eV per atom

---

This record from Alexandria via LeMat-Bulk describes a relaxed SnIrAu3 crystal. The functional is PBE-GGA.

Lattice parameters (Å, degrees): 5.0489 5.0489 5.0489 90.00 90.00 90.00
Last column: nearest neighbours and their distance in Å.
Sites, in units of the cell vectors:
1 Sn 0.5000 0.5000 0.5000  12 Au 3.57
2 Ir 0.0000 0.0000 0.0000  6 Au 2.52
3 Au 0.0000 0.0000 0.5000  2 Ir 2.52
4 Au 0.5000 0.0000 0.0000  2 Ir 2.52
5 Au 0.0000 0.5000 0.0000  2 Ir 2.52

- Symmetry: Pm-3m, No. 221
- V: 128.7 Å³/cell
- Distance to the lowest polymorph of the same formula: 0 meV/atom
- Energy: -3.761 eV per atom

---

This record from Alexandria via LeMat-Bulk describes a relaxed Sn2IrAu crystal. The functional is PBE-GGA.

Lattice parameters (Å, degrees): 4.8164 4.8164 4.8164 60.00 60.00 60.00
Last column: nearest neighbours and their distance in Å.
Sites, in units of the cell vectors:
1 Sn 0.2500 0.2500 0.2500  4 Ir 2.95, 4 Au 2.95
2 Au 0.5000 0.5000 0.5000  8 Sn 2.95
3 Sn 0.7500 0.7500 0.7500  4 Ir 2.95, 4 Au 2.95
4 Ir 0.0000 0.0000 0.0000  8 Sn 2.95

- Symmetry: Fm-3m, No. 225
- V: 79.0 Å³/cell
- Distance to the lowest polymorph of the same formula: 0 meV/atom
- Energy: -4.906 eV per atom

---

This record from Alexandria via LeMat-Bulk describes a relaxed Sn3IrAu crystal. The functional is PBE-GGA.

Lattice parameters (Å, degrees): 5.1308 5.1308 5.1308 90.00 90.00 90.00
Last column: nearest neighbours and their distance in Å.
Sites, in units of the cell vectors:
1 Au 0.5000 0.5000 0.5000  12 Sn 3.63
2 Sn 0.5000 0.0000 0.0000  2 Ir 2.57
3 Ir 0.0000 0.0000 0.0000  6 Sn 2.57
4 Sn 0.0000 0.0000 0.5000  2 Ir 2.57
5 Sn 0.0000 0.5000 0.0000  2 Ir 2.57

- Symmetry: Pm-3m, No. 221
- V: 135.1 Å³/cell
- Distance to the lowest polymorph of the same formula: 0 meV/atom
- Energy: -4.637 eV per atom

---

This record from Alexandria via LeMat-Bulk describes a relaxed Sn2IrAu crystal. The functional is PBE-GGA.

Lattice parameters (Å, degrees): 6.0965 6.0965 7.5129 66.06 66.06 90.00
Last column: nearest neighbours and their distance in Å.
Sites, in units of the cell vectors:
1 Sn 0.3750 0.3997 0.7500  2 Ir 2.56, 2 Au 2.74
2 Ir 0.5000 0.5000 0.0000  4 Sn 2.56
3 Au 0.7500 0.2500 0.5000  4 Sn 2.74
4 Au 0.0000 0.0000 0.0000  4 Sn 2.74
5 Sn 0.8750 0.8503 0.7500  2 Ir 2.56, 2 Au 2.74
6 Sn 0.6003 0.1250 0.2500  2 Ir 2.56, 2 Au 2.74
7 Sn 0.1497 0.6250 0.2500  2 Ir 2.56, 2 Au 2.74
8 Ir 0.2500 0.7500 0.5000  4 Sn 2.56

- Symmetry: I-42d, No. 122
- V: 228.7 Å³/cell
- Distance to the lowest polymorph of the same formula: 83 meV/atom
- Energy: -4.823 eV per atom

---

This record from Alexandria via LeMat-Bulk describes a relaxed Sn6IrAu2 crystal. The functional is PBE-GGA.

Lattice parameters (Å, degrees): 4.7607 6.6495 8.1054 114.22 107.09 90.00
Last column: nearest neighbours and their distance in Å.
Sites, in units of the cell vectors:
1 Sn 0.5000 0.2330 0.0000  2 Ir 2.84, 2 Au 2.90, 1 Sn 3.10
2 Au 0.6625 0.6639 0.3278  8 Sn 2.90-2.94
3 Sn 0.1612 0.9145 0.3235  1 Ir 2.80, 3 Au 2.91-2.94
4 Sn 0.8388 0.0855 0.6765  1 Ir 2.80, 3 Au 2.91-2.94
5 Ir 0.0000 0.0000 0.0000  8 Sn 2.80-2.84
6 Sn 0.8388 0.5910 0.6765  1 Ir 2.80, 3 Au 2.91-2.94
7 Au 0.3375 0.3361 0.6722  8 Sn 2.90-2.94
8 Sn 0.1612 0.4090 0.3235  1 Ir 2.80, 3 Au 2.91-2.94
9 Sn 0.5000 0.7670 0.0000  2 Ir 2.84, 2 Au 2.90, 1 Sn 3.10

- Symmetry: C2/m, No. 12
- V: 221.5 Å³/cell
- Energy: -4.553 eV per atom

---

This record from Alexandria via LeMat-Bulk describes a relaxed Sn2Ir2Au crystal. The functional is PBE-GGA.

Lattice parameters (Å, degrees): 4.2035 4.2035 6.4969 71.13 71.13 90.00
Last column: nearest neighbours and their distance in Å.
Sites, in units of the cell vectors:
1 Au 0.0000 0.0000 0.0000  8 Ir 3.23, 8 Sn 3.57
2 Ir 0.6098 0.6098 0.7805  1 Ir 2.54, 4 Sn 2.65
3 Ir 0.3902 0.3902 0.2195  1 Ir 2.54, 4 Sn 2.65
4 Sn 0.2500 0.7500 0.5000  4 Ir 2.65
5 Sn 0.7500 0.2500 0.5000  4 Ir 2.65

- Symmetry: I4/mmm, No. 139
- V: 102.1 Å³/cell
- Distance to the lowest polymorph of the same formula: 244 meV/atom
- Energy: -5.635 eV per atom

---

This record from Alexandria via LeMat-Bulk describes a relaxed Sr2Sn4IrAu3 crystal. The functional is PBE-GGA.

Lattice parameters (Å, degrees): 4.7370 4.7370 11.2356 90.00 90.00 90.00
Last column: nearest neighbours and their distance in Å.
Sites, in units of the cell vectors:
1 Au 0.0000 0.5000 0.1420  5 Sn 2.71-2.86
2 Sr 0.0000 0.5000 0.7368  2 Ir 3.56, 6 Au 3.56-3.62, 9 Sn 3.61-3.98
3 Ir 0.5000 0.5000 0.5000  4 Sn 2.71
4 Sn 0.5000 0.5000 0.0000  4 Au 2.86
5 Sn 0.0000 0.5000 0.3830  3 Au 2.71, 2 Ir 2.71
6 Sr 0.5000 0.0000 0.2632  2 Ir 3.56, 6 Au 3.56-3.62, 9 Sn 3.61-3.98
7 Sn 0.5000 0.0000 0.6170  3 Au 2.71, 2 Ir 2.71
8 Sn 0.0000 0.0000 0.0000  4 Au 2.86
9 Au 0.0000 0.0000 0.5000  4 Sn 2.71
10 Au 0.5000 0.0000 0.8580  5 Sn 2.71-2.86

- Symmetry: P-4m2, No. 115
- V: 252.1 Å³/cell
- Energy: -4.299 eV per atom

---

This record from Alexandria via LeMat-Bulk describes a relaxed TcSn2IrAu crystal. The functional is PBE-GGA.

Lattice parameters (Å, degrees): 4.9974 5.2183 4.9974 90.00 90.00 90.00
Last column: nearest neighbours and their distance in Å.
Sites, in units of the cell vectors:
1 Sn 0.5000 0.0000 0.0000  2 Ir 2.50
2 Sn 0.0000 0.0000 0.5000  2 Ir 2.50
3 Ir 0.0000 0.0000 0.0000  4 Sn 2.50, 2 Au 2.61
4 Au 0.0000 0.5000 0.0000  2 Ir 2.61
5 Tc 0.5000 0.5000 0.5000  4 Au 3.53, 8 Sn 3.61

- Symmetry: P4/mmm, No. 123
- V: 130.3 Å³/cell
- Energy: -5.117 eV per atom

---

This record from Alexandria via LeMat-Bulk describes a relaxed ThSnIrAu crystal. The functional is PBE-GGA.

Lattice parameters (Å, degrees): 4.9958 4.9958 4.9958 60.00 60.00 60.00
Last column: nearest neighbours and their distance in Å.
Sites, in units of the cell vectors:
1 Sn 0.2500 0.2500 0.2500  4 Ir 3.06, 4 Au 3.06
2 Th 0.7500 0.7500 0.7500  4 Au 3.06, 4 Ir 3.06
3 Au 0.5000 0.5000 0.5000  4 Th 3.06, 4 Sn 3.06
4 Ir 0.0000 0.0000 0.0000  4 Sn 3.06, 4 Th 3.06

- Symmetry: F-43m, No. 216
- V: 88.2 Å³/cell
- Energy: -6.393 eV per atom